# 1
## LiMg6V (PBE)

Data for an optimized crystal structure of LiMg6V.

abc: 6.2057 6.2057 5.0418
angles: 90.00 90.00 120.00
Space group P-6m2 (No. 187)
Symmetry-distinct sites (fractional):
Li 0.0000 0.0000 0.0000 [1 per cell]
Mg 0.1660 0.3320 0.5000 [3 per cell]
Mg 0.5055 0.0110 0.0000 [3 per cell]
V 0.6667 0.3333 0.5000 [1 per cell]

The calculated density comes out at 2.0 g/cm³. As for the formation energy: 0.121 eV/atom. As for the magnetic moment: 3.019 μB/f.u. The value obtained for the polymorph energy (0 for the lowest one) is 0 meV per atom.

# 2
## LiMg3V (PBE)

Data for an optimized crystal structure of LiMg3V.

abc: 5.299 5.299 5.299
angles: 90.00 90.00 90.00
Space group Pm-3m (No. 221)
Symmetry-distinct sites (fractional):
Li 0.000 0.000 0.000 [1 per cell]
Mg 0.000 0.500 0.500 [3 per cell]
V 0.500 0.500 0.500 [1 per cell]

The calculated density comes out at 1.5 g/cm³. As for the formation energy: 0.738 eV/atom. As for the magnetic moment: 4.352 μB/f.u. The value obtained for the polymorph energy (0 for the lowest one) is 47 meV per atom.